1.
VASP calculation (GGA-PBE) on a relaxed Nd2MgAl2Ni5 crystal.

Structure (extended XYZ):
```
20
Lattice="10.009 0.000 0.000 0.000 10.009 0.000 0.000 0.000 3.386" Properties=species:S:1:pos:R:3 pbc="T T T"
Nd 1.804 3.200 0.000
Nd 3.200 8.205 0.000
Nd 6.808 1.804 0.000
Nd 8.205 6.808 0.000
Mg 0.000 0.000 0.000
Mg 5.004 5.004 0.000
Al 1.168 6.172 0.000
Al 3.837 1.168 0.000
Al 6.172 8.841 0.000
Al 8.841 3.837 0.000
Ni 0.000 5.004 1.693
Ni 0.587 7.820 1.693
Ni 2.189 0.587 1.693
Ni 2.815 5.591 1.693
Ni 4.418 2.815 1.693
Ni 5.004 0.000 1.693
Ni 5.591 7.193 1.693
Ni 7.193 4.418 1.693
Ni 7.820 9.422 1.693
Ni 9.422 2.189 1.693
```

Results
The value obtained for the energy of formation is -25.31 kJ/mol of atoms.



2.
VASP calculation (GGA-PBE) on a relaxed InMo crystal.

Structure (extended XYZ):
```
6
Lattice="5.088 -1.680 0.000 5.088 1.680 0.000 -2.483 0.000 6.640" Properties=species:S:1:pos:R:3 pbc="T T T"
In 0.000 0.000 0.000
In -1.027 0.000 3.109
In 4.857 0.000 5.431
Mo 2.900 0.000 1.091
Mo 1.874 0.000 4.168
Mo 6.348 0.000 2.227
```

Results
The value obtained for the energy of formation is 31.76 kJ/mol of atoms.



3.
VASP calculation (GGA-PBE) on a relaxed Sc3Si2Pt2 crystal.

Structure (extended XYZ):
```
28
Lattice="5.440 0.000 0.000 0.000 7.340 0.000 0.000 0.000 12.512" Properties=species:S:1:pos:R:3 pbc="T T T"
Sc 0.679 0.657 1.337
Sc 0.679 0.657 4.919
Sc 0.679 3.013 7.593
Sc 0.679 3.013 11.174
Sc 1.984 5.339 3.128
Sc 1.984 5.671 9.384
Sc 3.457 1.669 3.128
Sc 3.457 2.001 9.384
Sc 4.761 4.327 1.337
Sc 4.761 4.327 4.919
Sc 4.761 6.683 7.593
Sc 4.761 6.683 11.174
Si 0.728 0.938 9.384
Si 0.728 2.732 3.128
Si 1.630 5.505 0.000
Si 1.630 5.505 6.256
Si 3.810 1.835 0.000
Si 3.810 1.835 6.256
Si 4.713 4.608 9.384
Si 4.713 6.402 3.128
Pt 2.055 0.432 7.407
Pt 2.055 0.432 11.360
Pt 2.055 3.238 1.151
Pt 2.055 3.238 5.105
Pt 3.385 4.102 7.407
Pt 3.385 4.102 11.360
Pt 3.385 6.908 1.151
Pt 3.385 6.908 5.105
```

Results
The calculation puts the uncorrected formation energy at -721 kJ/mol of formula units.



DOS at the Fermi energy, record by record: 0.71 0.88 0.75 states/eV per atom